Entry 1:
A relaxed BeFeHgTe crystal. Source: OQMD via LeMat-Bulk, functional GGA-PBE.

Lattice parameters (Å, degrees): 4.6459 4.6459 4.6459 60.00 60.00 60.00
With the nearest neighbours (Å) after each atom.
Fractional coordinates of all 4 atoms:
Be (0.0000, 0.0000, 0.0000)  4 Hg 2.85, 4 Te 2.85
Fe (0.5000, 0.5000, 0.5000)  4 Hg 2.85, 4 Te 2.85
Hg (0.7500, 0.7500, 0.7500)  4 Fe 2.85, 4 Be 2.85
Te (0.2500, 0.2500, 0.2500)  4 Fe 2.85, 4 Be 2.85

As for the space group: F-43m. The offset from the most stable computed form is 0.000 eV/atom. The total DFT energy (no corrections) is -12.7 eV/f.u.

=====

Entry 2:
A relaxed KRbPt3 crystal. Source: OQMD via LeMat-Bulk, functional GGA-PBE.

Lattice parameters (Å, degrees): 6.4756 6.4756 6.4756 138.79 132.40 64.75
With the nearest neighbours (Å) after each atom.
Fractional coordinates of all 5 atoms:
K (0.0000, 0.0000, 0.0000)  8 Pt 3.42-3.52, 4 Rb 3.61
Rb (0.4091, 0.4091, 0.0000)  8 Pt 3.46-3.47, 4 K 3.61
Pt (0.4462, 0.7021, 0.7441)  4 Pt 2.55-2.68
Pt (0.7010, 0.2010, 0.5000)  4 Pt 2.64
Pt (0.9581, 0.7021, 0.2559)  4 Pt 2.55-2.68

As for the space group: Imm2. The total DFT energy (no corrections) is -20.8 eV/f.u.